Crystalline PaTlFeO4 at its relaxed geometry. Source: Alexandria via LeMat-Bulk, functional PBE with a Hubbard U.

Cell: 6.5957 7.2460 10.0378 Å, 90.00 90.00 90.00°
Last column: nearest neighbours and their distance in Å.
Space group Imma (No. 74)
Asymmetric unit:
Pa 0.0000 0.0000 0.0000 x4  6 O 2.15-2.24
Tl 0.0000 0.2500 0.3399 x4  4 O 2.55-2.62
Fe 0.2500 0.2500 0.7500 x4  4 O 2.17
O 0.0000 0.0639 0.7904 x8  1 Pa 2.15, 2 Fe 2.17
O 0.2001 0.2500 0.0004 x8  2 Pa 2.24

calculated volume: 480 Å³/cell
calculated total energy: -7.556 eV per atom
crystal system: orthorhombic